(1)
# Ta2CrMo, relaxed, DFT PBE-GGA
data_Ta2CrMo
_symmetry_space_group_name_H-M 'I m m 2'
_symmetry_Int_Tables_number 44
_symmetry_space_group_name_Hall 'I 2 -2'
_cell_length_a 3.168
_cell_length_b 4.453
_cell_length_c 9.080
_cell_angle_alpha 90.00
_cell_angle_beta 90.00
_cell_angle_gamma 90.00
loop_
_atom_site_label
_atom_site_type_symbol
_atom_site_fract_x
_atom_site_fract_y
_atom_site_fract_z
Ta1 Ta 0.000 0.000 0.000
Ta2 Ta 0.000 0.500 0.235
Cr1 Cr 0.000 0.500 0.747
Mo1 Mo 0.000 0.000 0.481
# - Formation enthalpy at 0 K: -0.0659 eV per atom
# - ρ: 13.22 g cm⁻³
# - Magnetic moment: 0.00 Bohr magnetons per cell

(2)
# NaPmCu2F8, relaxed, DFT PBE-GGA
data_NaPmCu2F8
_symmetry_space_group_name_H-M 'I -4'
_symmetry_Int_Tables_number 82
_symmetry_space_group_name_Hall 'I -4'
_cell_length_a 5.543
_cell_length_b 5.543
_cell_length_c 10.615
_cell_angle_alpha 90.00
_cell_angle_beta 90.00
_cell_angle_gamma 90.00
loop_
_atom_site_label
_atom_site_type_symbol
_atom_site_fract_x
_atom_site_fract_y
_atom_site_fract_z
Na1 Na 0.000 0.000 0.000
Pm1 Pm 0.000 0.500 0.250
Cu1 Cu 0.000 0.000 0.500
Cu2 Cu 0.000 0.500 0.750
F1 F 0.138 0.294 0.437
F2 F 0.156 0.789 0.806
# - ρ: 4.55 g cm⁻³
# - E_form (uncorrected): -2.550 eV/atom
# - Magnetic moment: 4.01 Bohr magnetons per cell

(3)
# Mo2OsPt, relaxed, DFT PBE-GGA
data_Mo2OsPt
_symmetry_space_group_name_H-M 'P 4/m m m'
_symmetry_Int_Tables_number 123
_symmetry_space_group_name_Hall '-P 4 2'
_cell_length_a 3.926
_cell_length_b 3.926
_cell_length_c 3.946
_cell_angle_alpha 90.00
_cell_angle_beta 90.00
_cell_angle_gamma 90.00
loop_
_atom_site_label
_atom_site_type_symbol
_atom_site_fract_x
_atom_site_fract_y
_atom_site_fract_z
Mo1 Mo 0.000 0.500 0.000
Os1 Os 0.000 0.000 0.500
Pt1 Pt 0.500 0.500 0.500
# - Formation enthalpy at 0 K: -0.1610 eV per atom
# - ρ: 15.75 g cm⁻³
# - Relative energy among the computed polymorphs: 5 meV per atom
# - Magnetic moment: 0.00 Bohr magnetons per cell

(4)
# CeScNi17, relaxed, DFT PBE-GGA
data_CeScNi17
_symmetry_space_group_name_H-M 'R 3 m'
_symmetry_Int_Tables_number 160
_symmetry_space_group_name_Hall 'R 3 -2"'
_cell_length_a 8.2334
_cell_length_b 8.2334
_cell_length_c 12.0434
_cell_angle_alpha 90.00
_cell_angle_beta 90.00
_cell_angle_gamma 120.00
loop_
_atom_site_label
_atom_site_type_symbol
_atom_site_fract_x
_atom_site_fract_y
_atom_site_fract_z
Ce1 Ce 0.0000 0.0000 0.0000
Sc1 Sc 0.0000 0.0000 0.3249
Ni1 Ni 0.0000 0.0000 0.5585
Ni2 Ni 0.0000 0.0000 0.7584
Ni3 Ni 0.0000 0.5000 0.1592
Ni4 Ni 0.0367 0.3688 0.3261
Ni5 Ni 0.1675 0.3350 0.1468
Ni6 Ni 0.1688 0.3377 0.8398
# - Formation enthalpy at 0 K: -0.1775 eV per atom
# - ρ: 8.33 g cm⁻³
# - Magnetic moment: 18.58 Bohr magnetons per cell

(5)
# HgBH6F, relaxed, DFT PBE-GGA
data_HgBH6F
_symmetry_space_group_name_H-M 'P 1'
_symmetry_Int_Tables_number 1
_symmetry_space_group_name_Hall 'P 1'
_cell_length_a 4.009
_cell_length_b 5.907
_cell_length_c 6.303
_cell_angle_alpha 80.75
_cell_angle_beta 83.95
_cell_angle_gamma 82.67
loop_
_atom_site_label
_atom_site_type_symbol
_atom_site_fract_x
_atom_site_fract_y
_atom_site_fract_z
Hg1 Hg 0.000 0.000 0.000
B1 B 0.379 0.422 0.447
H1 H 0.218 0.478 0.606
H2 H 0.230 0.318 0.344
H3 H 0.547 0.208 0.482
H4 H 0.547 0.555 0.329
H5 H 0.550 0.735 0.493
H6 H 0.636 0.297 0.549
F1 F 0.622 0.860 0.550
# - ρ: 2.70 g cm⁻³
# - Raw total energy: -3.5267 eV/atom
# - Magnetic moment: 0.00 Bohr magnetons per cell

(6)
# K2NaMgBr, relaxed, DFT PBE-GGA
data_K2NaMgBr
_symmetry_space_group_name_H-M 'P 4/m m m'
_symmetry_Int_Tables_number 123
_symmetry_space_group_name_Hall '-P 4 2'
_cell_length_a 6.393
_cell_length_b 6.393
_cell_length_c 5.732
_cell_angle_alpha 90.00
_cell_angle_beta 90.00
_cell_angle_gamma 90.00
loop_
_atom_site_label
_atom_site_type_symbol
_atom_site_fract_x
_atom_site_fract_y
_atom_site_fract_z
K1 K 0.000 0.500 0.000
Na1 Na 0.000 0.000 0.500
Mg1 Mg 0.500 0.500 0.500
Br1 Br 0.000 0.000 0.000
# - ρ: 1.46 g cm⁻³
# - E_form (uncorrected): -0.426 eV/atom
# - Magnetic moment: 0.00 Bohr magnetons per cell

(7)
# MgRu3Cl, relaxed, DFT PBE-GGA
data_MgRu3Cl
_symmetry_space_group_name_H-M 'P m -3 m'
_symmetry_Int_Tables_number 221
_symmetry_space_group_name_Hall '-P 4 2 3'
_cell_length_a 4.361
_cell_length_b 4.361
_cell_length_c 4.361
_cell_angle_alpha 90.00
_cell_angle_beta 90.00
_cell_angle_gamma 90.00
loop_
_atom_site_label
_atom_site_type_symbol
_atom_site_fract_x
_atom_site_fract_y
_atom_site_fract_z
Mg1 Mg 0.000 0.000 0.000
Ru1 Ru 0.000 0.500 0.500
Cl1 Cl 0.500 0.500 0.500
# - ρ: 7.27 g cm⁻³
# - Relative energy among the computed polymorphs: 0 meV per atom
# - E_form (uncorrected): 0.826 eV/atom
# - Magnetic moment: 0.00 Bohr magnetons per cell

(8)
# RbCaAgO2, relaxed, DFT PBE-GGA
data_RbCaAgO2
_symmetry_space_group_name_H-M 'P 4/m m m'
_symmetry_Int_Tables_number 123
_symmetry_space_group_name_Hall '-P 4 2'
_cell_length_a 4.534
_cell_length_b 4.534
_cell_length_c 5.776
_cell_angle_alpha 90.00
_cell_angle_beta 90.00
_cell_angle_gamma 90.00
loop_
_atom_site_label
_atom_site_type_symbol
_atom_site_fract_x
_atom_site_fract_y
_atom_site_fract_z
Rb1 Rb 0.000 0.000 0.000
Ca1 Ca 0.000 0.000 0.500
Ag1 Ag 0.500 0.500 0.000
O1 O 0.000 0.500 0.500
# - ρ: 3.71 g cm⁻³
# - Relative energy among the computed polymorphs: 1113 meV per atom
# - E_form (uncorrected): -0.334 eV/atom
# - Magnetic moment: 0.00 Bohr magnetons per cell

(9)
# AcHo2Zn2Ga2, relaxed, DFT PBE-GGA
data_AcHo2Zn2Ga2
_symmetry_space_group_name_H-M 'R -3 m'
_symmetry_Int_Tables_number 166
_symmetry_space_group_name_Hall '-R 3 2"'
_cell_length_a 4.5124
_cell_length_b 4.5124
_cell_length_c 28.9717
_cell_angle_alpha 90.00
_cell_angle_beta 90.00
_cell_angle_gamma 120.00
loop_
_atom_site_label
_atom_site_type_symbol
_atom_site_fract_x
_atom_site_fract_y
_atom_site_fract_z
Ac1 Ac 0.0000 0.0000 0.0000
Ho1 Ho 0.0000 0.0000 0.1302
Zn1 Zn 0.0000 0.0000 0.4116
Ga1 Ga 0.0000 0.0000 0.2512
# - Formation enthalpy at 0 K: -0.3937 eV per atom
# - ρ: 8.07 g cm⁻³
# - Magnetic moment: 0.00 Bohr magnetons per cell

(10)
# AgSbTe2, relaxed, DFT PBE-GGA
data_AgSbTe2
_symmetry_space_group_name_H-M 'I m m 2'
_symmetry_Int_Tables_number 44
_symmetry_space_group_name_Hall 'I 2 -2'
_cell_length_a 4.000
_cell_length_b 4.075
_cell_length_c 14.180
_cell_angle_alpha 90.00
_cell_angle_beta 90.00
_cell_angle_gamma 90.00
loop_
_atom_site_label
_atom_site_type_symbol
_atom_site_fract_x
_atom_site_fract_y
_atom_site_fract_z
Ag1 Ag 0.000 0.000 0.000
Sb1 Sb 0.000 0.500 0.735
Te1 Te 0.000 0.000 0.573
Te2 Te 0.000 0.500 0.336
# - ρ: 6.97 g cm⁻³
# - E_form (uncorrected): 0.076 eV/atom
# - Magnetic moment: 0.00 Bohr magnetons per cell

(11)
# PmZnGa2Cu, relaxed, DFT PBE-GGA
data_PmZnGa2Cu
_symmetry_space_group_name_H-M 'I -4 m 2'
_symmetry_Int_Tables_number 119
_symmetry_space_group_name_Hall 'I -4 -2'
_cell_length_a 4.240
_cell_length_b 4.240
_cell_length_c 10.294
_cell_angle_alpha 90.00
_cell_angle_beta 90.00
_cell_angle_gamma 90.00
loop_
_atom_site_label
_atom_site_type_symbol
_atom_site_fract_x
_atom_site_fract_y
_atom_site_fract_z
Pm1 Pm 0.000 0.000 0.000
Zn1 Zn 0.000 0.500 0.750
Ga1 Ga 0.000 0.000 0.379
Cu1 Cu 0.000 0.500 0.250
# - Formation enthalpy at 0 K: -0.4628 eV per atom
# - ρ: 7.42 g cm⁻³
# - Magnetic moment: 0.00 Bohr magnetons per cell

(12)
# NbHSe2, relaxed, DFT PBE-GGA
data_NbHSe2
_symmetry_space_group_name_H-M 'I -4 2 d'
_symmetry_Int_Tables_number 122
_symmetry_space_group_name_Hall 'I -4 2bw'
_cell_length_a 5.541
_cell_length_b 5.541
_cell_length_c 10.046
_cell_angle_alpha 90.00
_cell_angle_beta 90.00
_cell_angle_gamma 90.00
loop_
_atom_site_label
_atom_site_type_symbol
_atom_site_fract_x
_atom_site_fract_y
_atom_site_fract_z
Nb1 Nb 0.000 0.000 0.000
H1 H 0.000 0.000 0.500
Se1 Se 0.201 0.250 0.625
# - ρ: 5.42 g cm⁻³
# - Relative energy among the computed polymorphs: 856 meV per atom
# - Magnetic moment: 0.00 Bohr magnetons per cell

> Which formula does entry 12 have?

NbHSe2